A crystal of La2RePt relaxed with PBEsol, computed with meta-GGA SCAN.

Lattice parameters (Å, degrees): 3.5290 5.0580 5.0580 93.64 91.41 91.41
With the nearest neighbours (Å) after each atom.
Element x y z (fractional)
Pt 0.5000 0.5000 0.5000  8 La 3.05-3.12
Re 0.5000 0.0000 0.0000  8 La 3.05-3.12
La 0.0000 0.5000 0.0000  4 Re 3.05-3.12, 4 Pt 3.05-3.12
La 0.0000 0.0000 0.5000  4 Pt 3.05-3.12, 4 Re 3.05-3.12

Properties
Magnetization   0.0 μB per formula unit
Symmetry   No. 12
VASP energy   -228.37 eV for the cell shown
Distance to the lowest polymorph of the same formula   0 meV per atom
Mass density   12.2 g cm⁻³
E_form   -84 kJ/mol of formula units